# 1
A geometry-optimized AcBiSe3 structure, computed with PBE-GGA.

Structure (POSCAR):
```
AcBiSe3
1.0
8.701 0.000 0.000
0.000 4.303 0.000
0.000 0.000 15.835
Ac Bi Se
4 4 12
Cartesian
1.188 1.076 3.082 Ac
3.163 3.227 11.000 Ac
5.538 1.076 4.835 Ac
7.513 3.227 12.753 Ac
1.688 3.227 7.179 Bi
2.662 1.076 15.097 Bi
6.039 3.227 0.738 Bi
7.013 1.076 8.656 Bi
8.698 1.076 6.125 Se
0.003 3.227 9.710 Se
1.252 3.227 0.799 Se
1.319 1.076 12.482 Se
3.032 3.227 4.565 Se
3.099 1.076 8.716 Se
4.348 1.076 1.793 Se
4.354 3.227 14.042 Se
5.602 3.227 7.119 Se
5.669 1.076 11.270 Se
7.383 3.227 3.353 Se
7.450 1.076 15.036 Se
```

## Properties
E above lowest polymorph ... 0 meV per atom
ΔE_f (raw) ... -114.87 kJ/mol of atoms
Total magnetic moment ... 0.00 μB/cell

=====

# 2
A geometry-optimized CoNiPd3 structure, computed with PBE-GGA.

Structure (POSCAR):
```
CoNiPd3
1.0
3.833 0.000 0.000
-0.008 5.941 0.000
-0.009 -0.098 6.065
Co Ni Pd
2 2 6
Cartesian
0.955 0.256 2.068 Co
2.862 5.588 3.997 Co
0.943 5.024 5.815 Ni
2.873 0.820 0.250 Ni
0.950 1.289 4.529 Pd
0.953 2.602 0.896 Pd
0.948 3.928 3.381 Pd
2.869 1.915 2.684 Pd
2.863 3.242 5.169 Pd
2.866 4.554 1.536 Pd
```

## Properties
E above lowest polymorph ... 0 meV per atom
D(E_F) ... 5.9 states/eV/f.u.
Energy relative to the elements ... 0.0234 eV per atom
Total magnetic moment ... 7.48 μB/cell

=====

# 3
A geometry-optimized NbAl structure, computed with PBE-GGA.

Structure (POSCAR):
```
NbAl
1.0
-3.708 3.708 2.657
3.708 -3.708 2.657
3.708 3.708 -2.657
Nb Al
4 4
Cartesian
2.068 0.456 0.000 Nb
3.252 -1.640 2.657 Nb
0.456 5.348 0.000 Nb
1.640 3.252 2.657 Nb
4.279 1.973 0.000 Al
1.973 3.138 0.000 Al
1.735 0.571 2.657 Al
-0.571 1.735 2.657 Al
```

## Properties
D(E_F) ... 1.1 states/eV/f.u.
Energy relative to the elements ... 0.2151 eV per atom
Total magnetic moment ... 0.00 μB/cell

=====

# 4
A geometry-optimized CuHgHN2 structure, computed with PBE-GGA.

Structure (POSCAR):
```
CuHgHN2
1.0
3.887 0.000 0.000
0.000 3.887 0.000
0.000 0.000 3.338
Cu Hg H N
1 1 1 2
Cartesian
0.000 0.000 0.000 Cu
1.943 1.943 0.000 Hg
0.000 0.000 1.669 H
0.000 1.943 1.669 N
1.943 0.000 1.669 N
```

## Properties
D(E_F) ... 4.0 states/eV/f.u.
Total magnetic moment ... 0.00 μB/cell

=====

# 5
A geometry-optimized TaAgPdPt structure, computed with PBE-GGA.

Structure (POSCAR):
```
TaAgPdPt
1.0
-1.941 1.941 4.325
1.941 -1.941 4.325
1.941 1.941 -4.325
Ta Ag Pd Pt
1 1 1 1
Cartesian
0.000 0.000 0.000 Ta
1.941 0.000 2.162 Ag
0.000 1.941 2.162 Pd
0.000 0.000 4.325 Pt
```

## Properties
E above lowest polymorph ... 89 meV per atom
D(E_F) ... 2.8 states/eV/f.u.
Energy relative to the elements ... -0.2538 eV per atom
Total magnetic moment ... 0.00 μB/cell

=====

# 6
A geometry-optimized BeAl6Ru5 structure, computed with PBE-GGA.

Structure (POSCAR):
```
BeAl6Ru5
1.0
-2.097 3.075 6.245
2.097 -3.075 6.245
2.097 3.075 -6.245
Be Al Ru
1 6 5
Cartesian
0.000 0.000 0.000 Be
2.097 -1.481 4.107 Al
2.097 1.684 0.000 Al
0.000 1.594 2.139 Al
2.097 1.481 4.107 Al
0.000 1.391 6.245 Al
0.000 4.556 2.139 Al
2.097 0.000 1.847 Ru
0.000 0.000 4.116 Ru
0.000 3.075 0.000 Ru
0.000 0.000 8.374 Ru
0.000 3.075 4.398 Ru
```

## Properties
D(E_F) ... 4.4 states/eV/f.u.
Energy relative to the elements ... -0.6242 eV per atom
Total magnetic moment ... 0.00 μB/cell

=====

# 7
A geometry-optimized Tm5In4H structure, computed with PBE-GGA.

Structure (POSCAR):
```
Tm5In4H
1.0
-4.957 4.957 2.435
4.957 -4.957 2.435
4.957 4.957 -2.435
Tm In H
5 4 1
Cartesian
0.000 0.000 4.869 Tm
3.281 3.281 0.000 Tm
1.676 -1.676 2.435 Tm
-1.676 1.676 2.435 Tm
1.676 1.676 2.435 Tm
3.218 0.000 0.000 In
6.696 0.000 0.000 In
0.000 3.218 0.000 In
0.000 6.696 0.000 In
0.000 0.000 2.429 H
```

## Properties
D(E_F) ... 9.6 states/eV/f.u.
Total magnetic moment ... 0.00 μB/cell

=====

# 8
A geometry-optimized HgSeCl structure, computed with PBE-GGA.

Structure (POSCAR):
```
HgSeCl
1.0
4.960 0.000 0.000
0.000 5.516 0.000
-2.245 0.000 6.997
Hg Se Cl
2 2 2
Cartesian
-0.281 1.379 2.034 Hg
2.996 4.137 4.964 Hg
-0.142 4.137 2.001 Se
2.857 1.379 4.996 Se
2.041 4.137 1.338 Cl
0.674 1.379 5.660 Cl
```

## Properties
E above lowest polymorph ... 301 meV per atom
D(E_F) ... 0.5 states/eV/f.u.
ΔE_f (raw) ... -5.95 kJ/mol of atoms
Total magnetic moment ... 0.00 μB/cell

=====

# 9
A geometry-optimized Al2SbRu structure, computed with PBE-GGA.

Structure (POSCAR):
```
Al2SbRu
1.0
4.288 -1.572 0.000
4.288 1.572 0.000
-1.159 0.000 5.602
Al Sb Ru
2 1 1
Cartesian
0.000 0.000 0.000 Al
1.122 0.000 4.184 Al
6.373 0.000 1.800 Sb
3.520 0.000 3.651 Ru
```

## Properties
D(E_F) ... 1.5 states/eV/f.u.
ΔE_f (raw) ... -12.29 kJ/mol of atoms
Total magnetic moment ... 0.00 μB/cell

=====

# 10
A geometry-optimized Ti3CdN structure, computed with PBE-GGA.

Structure (POSCAR):
```
Ti3CdN
1.0
3.844 2.219 3.209
-3.844 2.219 3.209
0.000 -4.438 3.209
Ti Cd N
6 2 2
Cartesian
-0.948 -1.642 2.407 Ti
-0.948 1.642 2.407 Ti
1.897 0.000 2.407 Ti
-1.897 0.000 7.221 Ti
0.948 -1.642 7.221 Ti
0.948 1.642 7.221 Ti
0.000 0.000 0.000 Cd
0.000 0.000 4.814 Cd
0.000 0.000 2.407 N
0.000 0.000 7.221 N
```

## Properties
D(E_F) ... 7.0 states/eV/f.u.
ΔE_f (raw) ... -21.50 kJ/mol of atoms
Total magnetic moment ... 0.00 μB/cell

=====

# 11
A geometry-optimized Pr6Ga2I3Br structure, computed with PBE-GGA.

Structure (POSCAR):
```
Pr6Ga2I3Br
1.0
3.793 -6.579 0.000
3.793 6.579 0.000
-2.529 0.000 7.767
Pr Ga I Br
6 2 3 1
Cartesian
-0.051 2.274 6.164 Pr
1.159 0.000 1.585 Pr
-0.051 -2.274 6.164 Pr
5.108 2.274 1.603 Pr
3.899 0.000 6.181 Pr
5.108 -2.274 1.603 Pr
3.793 4.379 0.000 Ga
3.793 -4.379 0.000 Ga
-1.264 0.000 3.883 I
2.529 2.182 3.883 I
2.529 -2.182 3.883 I
3.793 0.000 0.000 Br
```

## Properties
D(E_F) ... 6.6 states/eV/f.u.
ΔE_f (raw) ... -86.61 kJ/mol of atoms
Total magnetic moment ... 0.00 μB/cell

=====

# 12
A geometry-optimized Mn3CrTe structure, computed with PBE-GGA.

Structure (POSCAR):
```
Mn3CrTe
1.0
4.500 0.000 0.000
0.000 4.500 0.000
0.000 0.000 4.500
Mn Cr Te
3 1 1
Cartesian
0.000 0.000 2.250 Mn
0.000 2.250 0.000 Mn
2.250 0.000 0.000 Mn
0.000 0.000 0.000 Cr
2.250 2.250 2.250 Te
```

## Properties
E above lowest polymorph ... 0 meV per atom
D(E_F) ... 2.2 states/eV/f.u.
ΔE_f (raw) ... 77.02 kJ/mol of atoms
Total magnetic moment ... 7.00 μB/cell

=====

The VASP energy results, record by record, are as follows: -4.88, -5.67, -6.69, -3.14, -6.74, -6.67, -3.93, -1.94, -5.35, -6.81, -4.32, -7.26 eV per atom.